A plane-wave DFT calculation with PBE-GGA was carried out for a relaxed structure of TcAs5.

abc: 12.8099 3.0837 7.8009
angles: 90.00 110.74 90.00
With the nearest neighbours (Å) after each atom.
Space group Cm (No. 8)
Unique sites:
Tc1 0.0000 0.0000 0.0000 (multiplicity 2)  7 As 2.54-2.60
As1 0.0092 0.0000 0.3328 (multiplicity 2)  1 Tc 2.56, 2 As 2.63
As2 0.0809 0.5000 0.8142 (multiplicity 2)  1 As 2.51, 2 Tc 2.57
As3 0.1445 0.5000 0.2337 (multiplicity 2)  2 Tc 2.60, 2 As 2.63
As4 0.3393 0.0000 0.9835 (multiplicity 2)  1 As 2.51, 2 Tc 2.54
As5 0.3717 0.0000 0.6847 (multiplicity 2)  2 As 2.51

Properties
The total moment is 0.00 μB/atom. For the total energy, the calculation gives -66.60 eV/cell. The value obtained for the formation energy from the elements is 0.05 eV per atom. The density of states at the Fermi level comes out at 0.38 states/eV/atom. Its distance to the lowest polymorph of the same formula is 0.00 eV per formula unit.

=====

A plane-wave DFT calculation with PBE-GGA was carried out for a relaxed structure of BeReAs2.

abc: 2.9453 2.9453 27.1268
angles: 90.00 90.00 120.00
With the nearest neighbours (Å) after each atom.
Space group R3m (No. 160, hexagonal axes)
Unique sites:
Be1 0.0000 0.0000 0.0000 (multiplicity 3)  3 As 2.43, 3 Re 2.51
Re1 0.0000 0.0000 0.2651 (multiplicity 3)  3 Be 2.51, 3 As 2.54
As1 0.0000 0.0000 0.5289 (multiplicity 3)  3 Re 2.54
As2 0.0000 0.0000 0.7305 (multiplicity 3)  3 Be 2.43

Properties
The total moment is 0.00 μB/atom. For the total energy, the calculation gives -72.78 eV/cell. The value obtained for the formation energy from the elements is 0.30 eV per atom. The density of states at the Fermi level comes out at 0.86 states/eV/atom.

=====

A plane-wave DFT calculation with PBE-GGA was carried out for a relaxed structure of TlZnTc.

abc: 6.3488 6.3488 6.3488
angles: 90.00 90.00 90.00
With the nearest neighbours (Å) after each atom.
Space group F-43m (No. 216)
Unique sites:
Tl1 0.0000 0.0000 0.0000 (multiplicity 4)  4 Tc 2.75
Zn1 0.0000 0.0000 0.5000 (multiplicity 4)  4 Tc 2.75
Tc1 0.2500 0.2500 0.2500 (multiplicity 4)  4 Tl 2.75, 4 Zn 2.75

Properties
The total moment is 0.53 μB/atom. For the total energy, the calculation gives -46.33 eV/cell. The value obtained for the formation energy from the elements is 0.81 eV per atom. The density of states at the Fermi level comes out at 0.91 states/eV/atom. Its distance to the lowest polymorph of the same formula is 0.82 eV per formula unit.

=====

A plane-wave DFT calculation with PBE-GGA was carried out for a relaxed structure of La2Pr5Al2Cd.

abc: 12.8737 12.8737 3.9716
angles: 90.00 90.00 90.00
With the nearest neighbours (Å) after each atom.
Space group P4/mbm (No. 127)
Unique sites:
La1 0.1799 0.3201 0.0000 (multiplicity 4)  1 Al 3.41
Pr1 0.0000 0.5000 0.5000 (multiplicity 2)  4 Al 3.13
Pr2 0.0555 0.8010 0.5000 (multiplicity 8)  2 Al 3.10, 2 Cd 3.32
Al1 0.1329 0.6329 0.0000 (multiplicity 4)  6 Pr 3.10-3.13, 1 La 3.41
Cd1 0.0000 0.0000 0.0000 (multiplicity 2)  8 Pr 3.32

Properties
The total moment is 0.00 μB/atom. For the total energy, the calculation gives -87.10 eV/cell. The value obtained for the formation energy from the elements is -0.14 eV per atom. The density of states at the Fermi level comes out at 1.35 states/eV/atom.

=====

A plane-wave DFT calculation with PBE-GGA was carried out for a relaxed structure of NbAl2FeW.

abc: 4.3044 4.3044 4.5732
angles: 90.00 90.00 90.00
With the nearest neighbours (Å) after each atom.
Space group P4/mmm (No. 123)
Unique sites:
Nb1 0.0000 0.0000 0.0000 (multiplicity 1)  4 W 3.04, 8 Al 3.14
Al1 0.0000 0.5000 0.5000 (multiplicity 2)  2 Fe 2.15
Fe1 0.5000 0.5000 0.5000 (multiplicity 1)  4 Al 2.15, 2 W 2.29
W1 0.5000 0.5000 0.0000 (multiplicity 1)  2 Fe 2.29

Properties
The total moment is 0.00 μB/atom. For the total energy, the calculation gives -35.99 eV/cell. The value obtained for the formation energy from the elements is 0.60 eV per atom. The density of states at the Fermi level comes out at 1.06 states/eV/atom.

=====

A plane-wave DFT calculation with PBE-GGA was carried out for a relaxed structure of KCuAg2Pb.

abc: 5.4628 5.4628 6.2281
angles: 90.00 90.00 90.00
With the nearest neighbours (Å) after each atom.
Space group P4/mmm (No. 123)
Unique sites:
K1 0.0000 0.0000 0.0000 (multiplicity 1)  4 Ag 2.73
Cu1 0.5000 0.5000 0.5000 (multiplicity 1)  4 Pb 3.86, 8 Ag 4.14
Ag1 0.0000 0.5000 0.0000 (multiplicity 2)  2 K 2.73
Pb1 0.0000 0.0000 0.5000 (multiplicity 1)  2 K 3.11

Properties
The total moment is 0.00 μB/atom. For the total energy, the calculation gives -7.66 eV/cell. The value obtained for the formation energy from the elements is 1.39 eV per atom. The density of states at the Fermi level comes out at 0.65 states/eV/atom.

=====

A plane-wave DFT calculation with PBE-GGA was carried out for a relaxed structure of HgIrW2.

abc: 5.5310 8.4840 2.8006
angles: 90.00 90.00 90.00
With the nearest neighbours (Å) after each atom.
Space group Cmmm (No. 65)
Unique sites:
Hg1 0.0000 0.0000 0.0000 (multiplicity 2)  2 Ir 2.77, 2 Hg 2.80, 8 W 2.89
Ir1 0.0000 0.5000 0.0000 (multiplicity 2)  2 Hg 2.77, 2 Ir 2.80, 8 W 2.89
W1 0.2500 0.2500 0.5000 (multiplicity 4)  4 W 2.77-2.80, 4 Hg 2.89, 4 Ir 2.89

Properties
The total moment is 0.00 μB/atom. For the total energy, the calculation gives -66.34 eV/cell. The value obtained for the formation energy from the elements is 0.48 eV per atom. The density of states at the Fermi level comes out at 0.62 states/eV/atom.

=====

A plane-wave DFT calculation with PBE-GGA was carried out for a relaxed structure of MnInSi2.

abc: 3.9787 3.9787 8.4957
angles: 90.00 90.00 90.00
With the nearest neighbours (Å) after each atom.
Space group I-4m2 (No. 119)
Unique sites:
Mn1 0.0000 0.0000 0.0000 (multiplicity 2)  8 Si 2.81-2.91, 4 In 2.91
In1 0.0000 0.5000 0.2500 (multiplicity 2)  8 Si 2.81-2.91, 4 Mn 2.91
Si1 0.0000 0.0000 0.5000 (multiplicity 2)  4 Mn 2.81, 4 Si 2.91, 4 In 2.91
Si2 0.0000 0.5000 0.7500 (multiplicity 2)  4 In 2.81, 4 Mn 2.91, 4 Si 2.91

Properties
The total moment is 0.86 μB/atom. For the total energy, the calculation gives -42.15 eV/cell. The uncorrected formation energy comes out at 0.4191 eV/atom. The density of states at the Fermi level comes out at 0.51 states/eV/atom.

=====

A plane-wave DFT calculation with PBE-GGA was carried out for a relaxed structure of MgInW4.

abc: 7.6241 7.6241 7.6241
angles: 90.00 90.00 90.00
With the nearest neighbours (Å) after each atom.
Space group F-43m (No. 216)
Unique sites:
Mg1 0.0000 0.0000 0.0000 (multiplicity 4)  12 W 3.16, 4 In 3.30
In1 0.2500 0.2500 0.2500 (multiplicity 4)  12 W 3.16, 4 Mg 3.30
W1 0.1254 0.1254 0.6254 (multiplicity 16)  6 W 2.69-2.70

Properties
The total moment is 0.00 μB/atom. For the total energy, the calculation gives -211.37 eV/cell. The value obtained for the formation energy from the elements is 0.55 eV per atom. The density of states at the Fermi level comes out at 0.93 states/eV/atom.

=====

A plane-wave DFT calculation with PBE-GGA was carried out for a relaxed structure of Sm3NbTl3S8.

abc: 7.9645 7.9645 22.8296
angles: 90.00 90.00 120.00
With the nearest neighbours (Å) after each atom.
Space group R-3m (No. 166, hexagonal axes)
Unique sites:
Sm1 0.0000 0.5000 0.0000 (multiplicity 9)  6 S 2.78-2.82
Nb1 0.0000 0.0000 0.0000 (multiplicity 3)  6 S 2.55
Tl1 0.0000 0.5000 0.5000 (multiplicity 9)  6 S 3.21-3.22
S1 0.0000 0.0000 0.2650 (multiplicity 6)  3 Sm 2.78
S2 0.0296 0.5148 0.7307 (multiplicity 18)  1 Nb 2.55, 2 Sm 2.82

Properties
The total moment is 0.07 μB/atom. For the total energy, the calculation gives -252.30 eV/cell. The uncorrected formation energy comes out at -1.3170 eV/atom. The density of states at the Fermi level comes out at 0.31 states/eV/atom.

=====

A plane-wave DFT calculation with PBE-GGA was carried out for a relaxed structure of LiZnPb.

abc: 3.5909 4.1393 8.4317
angles: 90.00 90.00 90.00
With the nearest neighbours (Å) after each atom.
Space group Imm2 (No. 44)
Unique sites:
Li1 0.0000 0.0000 0.0000 (multiplicity 2)  1 Zn 2.76, 5 Pb 2.80-3.09
Zn1 0.0000 0.0000 0.3272 (multiplicity 2)  1 Li 2.76, 5 Pb 2.88-3.05
Pb1 0.0000 0.0000 0.6683 (multiplicity 2)  5 Li 2.80-3.09, 5 Zn 2.88-3.05

Properties
The total moment is 0.00 μB/atom. For the total energy, the calculation gives -14.23 eV/cell. The value obtained for the formation energy from the elements is -0.07 eV per atom. The density of states at the Fermi level comes out at 0.37 states/eV/atom.

=====

A plane-wave DFT calculation with PBE-GGA was carried out for a relaxed structure of AcLa5Sm3.

abc: 16.7932 7.0895 12.0058
angles: 90.00 109.74 90.00
With the nearest neighbours (Å) after each atom.
Space group C2/c (No. 15)
Unique sites:
Ac1 0.0000 0.2451 0.2500 (multiplicity 4)  1 La 3.23, 2 Sm 3.47
La1 0.0000 0.2997 0.7500 (multiplicity 4)  2 La 3.11, 1 Ac 3.23
La2 0.1083 0.4989 0.5494 (multiplicity 8)  4 La 3.42-3.75, 2 Sm 3.64-3.68
La3 0.1748 0.0997 0.8533 (multiplicity 8)  1 La 3.11, 2 Sm 3.42-3.43
Sm1 0.0000 0.0000 0.0000 (multiplicity 4)  2 Ac 3.47, 2 La 3.68
Sm2 0.2442 0.3958 0.3727 (multiplicity 8)  6 La 3.42-3.74, 1 Sm 3.64

Properties
The total moment is 0.00 μB/atom. For the total energy, the calculation gives -165.90 eV/cell. The value obtained for the formation energy from the elements is 0.16 eV per atom. The density of states at the Fermi level comes out at 1.46 states/eV/atom.

=====

A plane-wave DFT calculation with PBE-GGA was carried out for a relaxed structure of Y7PS5.

abc: 12.8351 3.8667 23.3891
angles: 90.00 91.88 90.00
With the nearest neighbours (Å) after each atom.
Space group Cm (No. 8)
Unique sites:
Y1 0.0000 0.0000 0.0000 (multiplicity 2)  6 S 2.73-2.79
Y2 0.0074 0.0000 0.5748 (multiplicity 2)  6 S 2.72-2.77
Y3 0.0430 0.5000 0.4216 (multiplicity 2)  5 S 2.74-2.95, 1 P 2.96
Y4 0.0640 0.5000 0.1447 (multiplicity 2)  5 S 2.73-2.76
Y5 0.1024 0.0000 0.2854 (multiplicity 2)  2 S 2.71-2.78, 2 P 2.83
Y6 0.1804 0.0000 0.7895 (multiplicity 2)  2 S 2.71-2.77, 2 P 2.82
Y7 0.2203 0.5000 0.9301 (multiplicity 2)  5 S 2.73-2.76
Y8 0.2393 0.5000 0.6534 (multiplicity 2)  5 S 2.74-2.95, 1 P 2.97
Y9 0.2747 0.0000 0.5003 (multiplicity 2)  6 S 2.72-2.77
Y10 0.2843 0.0000 0.0750 (multiplicity 2)  6 S 2.73-2.79
Y11 0.3258 0.5000 0.3600 (multiplicity 2)  3 S 2.71-2.79, 2 P 2.82
Y12 0.3430 0.5000 0.2180 (multiplicity 2)  3 S 2.76, 2 P 3.08
Y13 0.4407 0.0000 0.8570 (multiplicity 2)  3 S 2.76, 2 P 3.08
Y14 0.4565 0.0000 0.7150 (multiplicity 2)  3 S 2.71-2.78, 2 P 2.82
P1 0.3357 0.5000 0.7704 (multiplicity 2)  7 Y 2.82-3.08
P2 0.4470 0.0000 0.3048 (multiplicity 2)  7 Y 2.82-3.08
S1 0.0812 0.0000 0.8931 (multiplicity 2)  6 Y 2.74-2.77
S2 0.0983 0.0000 0.6815 (multiplicity 2)  6 Y 2.71-2.78
S3 0.1410 0.5000 0.5375 (multiplicity 2)  6 Y 2.75-2.95
S4 0.1422 0.5000 0.0374 (multiplicity 2)  6 Y 2.73-2.78
S5 0.1840 0.0000 0.3935 (multiplicity 2)  6 Y 2.71-2.79
S6 0.2028 0.0000 0.1819 (multiplicity 2)  6 Y 2.74-2.78
S7 0.3621 0.0000 0.9652 (multiplicity 2)  6 Y 2.73-2.79
S8 0.3680 0.0000 0.6084 (multiplicity 2)  6 Y 2.71-2.77
S9 0.4142 0.5000 0.4667 (multiplicity 2)  6 Y 2.71-2.77
S10 0.4222 0.5000 0.1098 (multiplicity 2)  6 Y 2.73-2.79

Properties
The total moment is 0.00 μB/atom. For the total energy, the calculation gives -377.59 eV/cell. The uncorrected formation energy comes out at -1.7771 eV/atom. The density of states at the Fermi level comes out at 0.45 states/eV/atom.